Entry 1:
Material: Sb2TeIN
Method: DFT, PBE
State: optimized geometry

The value obtained for the theoretical density is 7.06 Mg/m³. For the energy relative to the lowest polymorph listed for this composition, the calculation gives 5 meV/atom. For the density of states at the Fermi level, the calculation gives 4.6 states/eV/f.u.

It has space group P4/mmm (No. 123), with a = 5.033 Å, b = 5.033 Å, c = 4.757 Å, α = 90.00°, β = 90.00° and γ = 90.00°. The inequivalent atoms are Sb at (0.000, 0.500, 0.000), Te at (0.000, 0.000, 0.500), I at (0.500, 0.500, 0.500) and N at (0.500, 0.500, 0.000).

---

Entry 2:
Material: TaZn2Ir
Method: DFT, PBE
State: optimized geometry

The value obtained for the theoretical density is 13.45 Mg/m³. The calculation puts the energy of formation at -0.124 eV/atom. For the density of states at the Fermi level, the calculation gives 2.2 states/eV/f.u.

It has space group Pmmm (No. 47), with a = 2.988 Å, b = 4.552 Å, c = 4.574 Å, α = 90.00°, β = 90.00° and γ = 90.00°. The inequivalent atoms are Ta at (0.000, 0.000, 0.000), Zn at (0.000, 0.500, 0.500), Zn at (0.500, 0.000, 0.500) and Ir at (0.500, 0.500, 0.000).

---

Entry 3:
Material: TlTc3H
Method: DFT, PBE
State: optimized geometry

The value obtained for the theoretical density is 12.33 Mg/m³. For the energy relative to the lowest polymorph listed for this composition, the calculation gives 0 meV/atom. For the density of states at the Fermi level, the calculation gives 6.3 states/eV/f.u.

It has space group Pm-3m (No. 221), with a = 4.067 Å, b = 4.067 Å, c = 4.067 Å, α = 90.00°, β = 90.00° and γ = 90.00°. The inequivalent atoms are Tl at (0.000, 0.000, 0.000), Tc at (0.000, 0.500, 0.500) and H at (0.500, 0.500, 0.500).

---

Entry 4:
Material: NaMg6Mn
Method: DFT, PBE
State: optimized geometry

The value obtained for the theoretical density is 2.07 Mg/m³. The calculation puts the energy of formation at 0.172 eV/atom. For the density of states at the Fermi level, the calculation gives 3.7 states/eV/f.u.

It has space group Amm2 (No. 38), with a = 5.096 Å, b = 6.404 Å, c = 11.026 Å, α = 90.00°, β = 90.00° and γ = 90.00°. The inequivalent atoms are Na at (0.000, 0.000, 0.000), Mg at (0.000, 0.000, 0.501), Mg at (0.000, 0.240, 0.754), Mg at (0.500, 0.000, 0.330), Mg at (0.500, 0.247, 0.583) and Mn at (0.500, 0.000, 0.821).